(1)
Li2ZrCo | PBEsol | relaxed

a = 3.109 Å, b = 3.109 Å, c = 6.953 Å
α = 90.00°, β = 90.00°, γ = 90.00°
Atoms (fractional coordinates):
Co1 0.500 0.500 0.747
Li1 0.000 0.000 0.969
Li2 0.500 0.500 0.218
Zr1 0.000 0.000 0.566

## Properties
- VASP energy (Ry per atom) = -0.3762
- ΔE to the lowest computed polymorph (meV/atom) = 0
- space-group type = P4mm (99)
- ΔH_f (0 K) (kJ/mol of formula units) = 28

(2)
MgSiSb2 | PBEsol | relaxed

a = 3.456 Å, b = 3.456 Å, c = 7.389 Å
α = 90.00°, β = 90.00°, γ = 90.00°
Atoms (fractional coordinates):
Sb1 0.000 0.000 0.771
Sb2 0.000 0.000 0.229
Si1 0.500 0.500 0.000
Mg1 0.500 0.500 0.500

## Properties
- VASP energy (Ry per atom) = -0.2926
- space-group type = P4/mmm (123)
- ΔE_f (raw) (eV per atom) = 0.164

(3)
SrCrSi | PBEsol | relaxed

a = 4.269 Å, b = 4.269 Å, c = 4.620 Å
α = 90.00°, β = 90.00°, γ = 120.00°
Each line ends with the local moment (μB).
Atoms (fractional coordinates):
Cr1 0.000 0.000 0.000  3.39
Si1 0.333 0.667 0.000  -0.14
Sr1 0.667 0.333 0.500  0.05

## Properties
- VASP energy (Ry per atom) = -0.4282
- space-group type = P-6m2 (187)
- ΔE_f (raw) (eV per atom) = 0.116

(4)
ScBr2 | PBEsol | relaxed

a = 6.097 Å, b = 6.097 Å, c = 6.097 Å
α = 60.00°, β = 60.00°, γ = 60.00°
Each line ends with the local moment (μB).
Atoms (fractional coordinates):
Br1 0.125 0.125 0.125  0.08
Br2 0.125 0.125 0.625  0.08
Br3 0.125 0.625 0.125  0.08
Br4 0.625 0.125 0.125  0.08
Sc1 0.500 0.500 0.500  0.91
Sc2 0.750 0.750 0.750  0.91

## Properties
- VASP energy (Ry per atom) = -0.2382
- space-group type = Fd-3m (227)
- ΔE_f (raw) (eV per atom) = 0.207

(5)
CoNiPt | PBEsol | relaxed

a = 2.584 Å, b = 4.043 Å, c = 4.043 Å
α = 120.00°, β = 90.00°, γ = 90.00°
Each line ends with the local moment (μB).
Atoms (fractional coordinates):
Ni1 0.000 0.667 0.333  0.74
Co1 0.000 0.000 0.000  1.88
Pt1 0.500 0.333 0.667  0.39

## Properties
- VASP energy (Ry per atom) = -0.5101
- ΔE to the lowest computed polymorph (meV/atom) = 81
- space-group type = P-6m2 (187)
- ΔH_f (0 K) (kJ/mol of formula units) = 3

(6)
CaMo2Rh | PBEsol | relaxed

a = 4.512 Å, b = 4.512 Å, c = 4.512 Å
α = 60.00°, β = 60.00°, γ = 60.00°
Atoms (fractional coordinates):
Ca1 0.500 0.500 0.500
Mo1 0.000 0.000 0.000
Mo2 0.750 0.750 0.750
Rh1 0.250 0.250 0.250

## Properties
- VASP energy (Ry per atom) = -0.5909
- ΔE to the lowest computed polymorph (meV/atom) = 160
- space-group type = F-43m (216)
- ΔH_f (0 K) (kJ/mol of formula units) = 159

(7)
CaAu3 | PBEsol | relaxed

a = 5.407 Å, b = 7.820 Å, c = 7.812 Å
α = 90.00°, β = 90.00°, γ = 90.00°
Atoms (fractional coordinates):
Au1 0.123 0.750 0.111
Au2 0.623 0.250 0.389
Au3 0.377 0.750 0.611
Au4 0.877 0.250 0.889
Au5 0.584 0.055 0.686
Au6 0.084 0.945 0.814
Au7 0.916 0.445 0.186
Au8 0.416 0.555 0.314
Au9 0.416 0.945 0.314
Au10 0.916 0.055 0.186
Au11 0.084 0.555 0.814
Au12 0.584 0.445 0.686
Ca1 0.617 0.750 0.961
Ca2 0.117 0.250 0.539
Ca3 0.883 0.750 0.461
Ca4 0.383 0.250 0.039

## Properties
- VASP energy (Ry per atom) = -0.2938
- space-group type = Pnma (62)
- ΔH_f (0 K) (kJ/mol of formula units) = -201

(8)
Sr2H2Pt | PBEsol | relaxed

a = 3.785 Å, b = 3.785 Å, c = 7.015 Å
α = 105.65°, β = 105.65°, γ = 90.00°
Atoms (fractional coordinates):
Sr1 0.363 0.363 0.726
Sr2 0.637 0.637 0.274
Pt1 0.000 0.000 0.000
H1 0.250 0.750 0.500
H2 0.750 0.250 0.500

## Properties
- VASP energy (Ry per atom) = -0.2910
- space-group type = I4/mmm (139)